Mn3Sn3Te2O16 | PBE with a Hubbard U | relaxed Values from VASP.

Summary:
- calculated density (kg/m3) = 5329
- uncorrected energy (eV per atom) = -6.3242
- symmetry = No. 8
- total magnetization (μB per cell) = 13.00

```
&SYSTEM
  ibrav = 0, nat = 24, ntyp = 4
/
ATOMIC_SPECIES
Mn 54.94 Mn.upf
Sn 118.71 Sn.upf
Te 127.60 Te.upf
O 16.00 O.upf
CELL_PARAMETERS angstrom
5.550 -3.112 0.000
5.550 3.112 0.000
-0.271 0.000 9.313
ATOMIC_POSITIONS crystal
Mn 0.000 0.000 0.000
Mn 0.171 0.665 0.502
Mn 0.665 0.171 0.502
Sn 0.492 0.998 0.998
Sn 0.665 0.665 0.495
Sn 0.998 0.492 0.998
Te 0.160 0.160 0.715
Te 0.494 0.494 0.222
O 0.008 0.008 0.603
O 0.011 0.464 0.602
O 0.173 0.173 0.109
O 0.191 0.646 0.108
O 0.305 0.305 0.851
O 0.315 0.882 0.847
O 0.361 0.786 0.348
O 0.363 0.363 0.362
O 0.464 0.011 0.602
O 0.497 0.497 0.595
O 0.646 0.191 0.108
O 0.647 0.647 0.102
O 0.786 0.361 0.348
O 0.825 0.825 0.907
O 0.836 0.836 0.417
O 0.882 0.315 0.847
```